No. 1
## Cu5C (PBE)

Data for Cu5C after structural relaxation.

## Properties
Total DFT energy (no corrections) ... -0.3212 Ry per atom
Energy of formation ... 0.581 eV per atom
ΔE to the lowest computed polymorph ... 103 meV/atom

Cell: 2.597 2.597 9.679 Å, 90.00 90.00 90.00°
Space group P4/mmm (No. 123)
Asymmetric unit:
Cu 0.000 0.000 0.000 x1
Cu 0.000 0.000 0.373 x2
Cu 0.500 0.500 0.183 x2
C 0.500 0.500 0.500 x1

No. 2
## Cu2C (PBE)

Data for Cu2C after structural relaxation.

## Properties
Total DFT energy (no corrections) ... -0.3778 Ry per atom
Energy of formation ... 0.665 eV per atom
ΔE to the lowest computed polymorph ... 0 meV/atom

Cell: 9.195 2.681 5.625 Å, 90.00 106.22 90.00°
Space group C2/m (No. 12)
Asymmetric unit:
Cu 0.114 0.000 0.253 x4
Cu 0.167 0.000 0.817 x4
C 0.011 0.500 0.627 x4

No. 3
## CuC2 (PBE)

Data for CuC2 after structural relaxation.

## Properties
Total DFT energy (no corrections) ... -0.4361 Ry per atom
Energy of formation ... 1.581 eV per atom
ΔE to the lowest computed polymorph ... 1347 meV/atom

Cell: 2.873 2.873 7.094 Å, 90.00 90.00 90.00°
Space group P4/nmm (No. 129, origin choice 2)
Asymmetric unit:
Cu 0.250 0.250 0.110 x2
C 0.250 0.250 0.394 x2
C 0.250 0.750 0.500 x2

No. 4
## Cu2C (PBE)

Data for Cu2C after structural relaxation.

## Properties
Total DFT energy (no corrections) ... -0.3100 Ry per atom
Energy of formation ... 1.588 eV per atom
ΔE to the lowest computed polymorph ... 923 meV/atom

Cell: 4.7212 4.7212 8.2378 Å, 90.00 90.00 120.00°
Space group P6_3/mmc (No. 194)
Asymmetric unit:
Cu 0.0000 0.0000 0.0000 x2
Cu 0.1668 0.3335 0.2500 x6
C 0.3333 0.6667 0.0732 x4

No. 5
## CuC2 (PBE)

Data for CuC2 after structural relaxation.

## Properties
Total DFT energy (no corrections) ... -0.4457 Ry per atom
Energy of formation ... 1.451 eV per atom
ΔE to the lowest computed polymorph ... 1217 meV/atom

Cell: 4.836 4.836 4.836 Å, 90.00 90.00 90.00°
Space group Pa-3 (No. 205)
Asymmetric unit:
Cu 0.000 0.000 0.000 x4
C 0.079 0.579 0.921 x8

No. 6
## Cu2C (PBE)

Data for Cu2C after structural relaxation.

## Properties
Total DFT energy (no corrections) ... -0.3639 Ry per atom
Energy of formation ... 0.854 eV per atom
ΔE to the lowest computed polymorph ... 190 meV/atom

Cell: 2.568 9.748 4.927 Å, 90.00 90.00 90.00°
Space group Cmc2_1 (No. 36)
Asymmetric unit:
Cu 0.000 0.020 0.000 x4
Cu 0.000 0.242 0.498 x4
C 0.000 0.391 0.205 x4

No. 7
## CuC2 (PBE)

Data for CuC2 after structural relaxation.

## Properties
Total DFT energy (no corrections) ... -0.5335 Ry per atom
Energy of formation ... 0.256 eV per atom
ΔE to the lowest computed polymorph ... 23 meV/atom

Cell: 2.4614 2.4614 14.4956 Å, 90.00 90.00 120.00°
Space group P6_3/mmc (No. 194)
Asymmetric unit:
Cu 0.3333 0.6667 0.2500 x2
C 0.3333 0.6667 0.0000 x4

No. 8
## Cu2C (PBE)

Data for Cu2C after structural relaxation.

## Properties
Total DFT energy (no corrections) ... -0.3554 Ry per atom
Energy of formation ... 0.971 eV per atom
ΔE to the lowest computed polymorph ... 306 meV/atom

Cell: 2.7955 2.7955 9.1592 Å, 90.00 90.00 120.00°
Space group P6_3/mmc (No. 194)
Asymmetric unit:
Cu 0.3333 0.6667 0.1137 x4
C 0.0000 0.0000 0.2500 x2